Below is a relaxed structure of Tc3OsRu, with properties calculated at the GGA-PBE level.

The polymorph energy (0 for the lowest one) comes out at 0 kJ/mol of formula units. The space group is No. 11.

Lattice parameters (Å, degrees): 4.765 4.360 7.301 90.00 108.93 90.00
Fractional positions:
1 Tc 0.035 0.250 0.401
2 Tc 0.172 0.750 0.004
3 Tc 0.433 0.250 0.200
4 Tc 0.567 0.750 0.800
5 Tc 0.828 0.250 0.996
6 Tc 0.965 0.750 0.599
7 Os 0.230 0.250 0.799
8 Os 0.770 0.750 0.201
9 Ru 0.367 0.750 0.399
10 Ru 0.633 0.250 0.601

Below is a relaxed structure of In2W, with properties calculated at the GGA-PBE level.

The space group is No. 12.

Lattice parameters (Å, degrees): 11.687 3.251 7.483 90.00 109.54 90.00
Fractional positions:
1 In 0.074 0.000 0.228
2 In 0.155 0.000 0.639
3 In 0.345 0.500 0.361
4 In 0.426 0.500 0.772
5 In 0.574 0.500 0.228
6 In 0.655 0.500 0.639
7 In 0.845 0.000 0.361
8 In 0.926 0.000 0.772
9 W 0.164 0.500 0.973
10 W 0.336 0.000 0.027
11 W 0.664 0.000 0.973
12 W 0.836 0.500 0.027

Below is a relaxed structure of TcHg, with properties calculated at the GGA-PBE level.

The polymorph energy (0 for the lowest one) comes out at 70 kJ/mol of formula units. The space group is No. 38.

Lattice parameters (Å, degrees): 4.579 8.710 5.400 90.00 90.00 90.00
Fractional positions:
1 Tc 0.000 0.000 0.000
2 Tc 0.000 0.500 0.500
3 Tc 0.500 0.143 0.130
4 Tc 0.500 0.357 0.630
5 Tc 0.500 0.643 0.630
6 Tc 0.500 0.857 0.130
7 Hg 0.000 0.179 0.452
8 Hg 0.000 0.321 0.952
9 Hg 0.000 0.679 0.952
10 Hg 0.000 0.821 0.452
11 Hg 0.500 0.000 0.653
12 Hg 0.500 0.500 0.153

Below is a relaxed structure of NaEu2Ge, with properties calculated at the GGA-PBE level.

The space group is No. 166.

Lattice parameters (Å, degrees): 3.914 3.914 34.359 90.00 90.00 120.00
Fractional positions:
1 Na 0.000 0.000 0.000
2 Na 0.333 0.667 0.667
3 Na 0.667 0.333 0.333
4 Eu 0.000 0.000 0.108
5 Eu 0.000 0.000 0.892
6 Eu 0.333 0.667 0.559
7 Eu 0.333 0.667 0.775
8 Eu 0.667 0.333 0.225
9 Eu 0.667 0.333 0.441
10 Ge 0.000 0.000 0.500
11 Ge 0.333 0.667 0.167
12 Ge 0.667 0.333 0.833

Below is a relaxed structure of La2ZnCl, with properties calculated at the GGA-PBE level.

The polymorph energy (0 for the lowest one) comes out at 17 kJ/mol of formula units. The space group is No. 12. As for the raw formation energy: -20.475 kcal/mol of atoms.

Lattice parameters (Å, degrees): 7.471 4.303 7.456 90.00 109.37 90.00
Fractional positions:
1 La 0.246 0.000 0.239
2 La 0.254 0.500 0.761
3 La 0.746 0.500 0.239
4 La 0.754 0.000 0.761
5 Zn 0.000 0.000 0.500
6 Zn 0.500 0.500 0.500
7 Cl 0.000 0.500 0.000
8 Cl 0.500 0.000 0.000

Below is a relaxed structure of KTaBe2, with properties calculated at the GGA-PBE level.

The polymorph energy (0 for the lowest one) comes out at 114 kJ/mol of formula units. The space group is No. 160.

Lattice parameters (Å, degrees): 3.058 3.058 26.686 90.00 90.00 120.00
Fractional positions:
1 K 0.000 0.000 0.000
2 K 0.333 0.667 0.667
3 K 0.667 0.333 0.333
4 Ta 0.000 0.000 0.789
5 Ta 0.333 0.667 0.456
6 Ta 0.667 0.333 0.123
7 Be 0.000 0.000 0.231
8 Be 0.000 0.000 0.523
9 Be 0.333 0.667 0.189
10 Be 0.333 0.667 0.898
11 Be 0.667 0.333 0.565
12 Be 0.667 0.333 0.856

Below is a relaxed structure of BaV2Se6, with properties calculated at the GGA-PBE level.

The space group is No. 162. As for the raw formation energy: -18.233 kcal/mol of atoms.

Lattice parameters (Å, degrees): 6.538 6.538 6.819 90.00 90.00 120.00
Fractional positions:
1 Ba 0.000 0.000 0.000
2 V 0.333 0.667 0.500
3 V 0.667 0.333 0.500
4 Se 0.000 0.441 0.727
5 Se 0.000 0.559 0.273
6 Se 0.441 0.000 0.727
7 Se 0.441 0.441 0.273
8 Se 0.559 0.000 0.273
9 Se 0.559 0.559 0.727

Below is a relaxed structure of Dy2Bi2H3, with properties calculated at the GGA-PBE level.

The space group is No. 12.

Lattice parameters (Å, degrees): 12.009 3.595 7.240 90.00 123.25 90.00
Fractional positions:
1 Dy 0.145 0.000 0.248
2 Dy 0.355 0.500 0.752
3 Dy 0.645 0.500 0.248
4 Dy 0.855 0.000 0.752
5 Bi 0.132 0.000 0.764
6 Bi 0.368 0.500 0.236
7 Bi 0.632 0.500 0.764
8 Bi 0.868 0.000 0.236
9 H 0.000 0.500 0.000
10 H 0.175 0.500 0.431
11 H 0.325 0.000 0.569
12 H 0.500 0.000 0.000
13 H 0.675 0.000 0.431
14 H 0.825 0.500 0.569

Below is a relaxed structure of CaHI2, with properties calculated at the GGA-PBE level.

The space group is No. 1.

Lattice parameters (Å, degrees): 4.480 8.079 8.535 83.75 75.03 89.92
Fractional positions:
1 Ca 0.000 0.000 0.000
2 Ca 0.415 0.482 0.175
3 H 0.089 0.041 0.650
4 H 0.256 0.031 0.651
5 I 0.561 0.264 0.876
6 I 0.561 0.765 0.876
7 I 0.849 0.713 0.307
8 I 0.851 0.219 0.305

Below is a relaxed structure of YTl2Cl, with properties calculated at the GGA-PBE level.

The polymorph energy (0 for the lowest one) comes out at 40 kJ/mol of formula units. The space group is No. 35. As for the raw formation energy: -14.762 kcal/mol of atoms.

Lattice parameters (Å, degrees): 3.848 5.974 10.647 90.00 90.00 90.00
Fractional positions:
1 Y 0.000 0.000 0.000
2 Y 0.500 0.500 0.000
3 Tl 0.000 0.000 0.493
4 Tl 0.000 0.500 0.239
5 Tl 0.500 0.000 0.239
6 Tl 0.500 0.500 0.493
7 Cl 0.000 0.500 0.822
8 Cl 0.500 0.000 0.822

Below is a relaxed structure of Tb2EuIr, with properties calculated at the GGA-PBE level.

The polymorph energy (0 for the lowest one) comes out at 47 kJ/mol of formula units. The space group is No. 166.

Lattice parameters (Å, degrees): 4.001 4.001 31.781 90.00 90.00 120.00
Fractional positions:
1 Tb 0.000 0.000 0.120
2 Tb 0.000 0.000 0.880
3 Tb 0.333 0.667 0.547
4 Tb 0.333 0.667 0.786
5 Tb 0.667 0.333 0.214
6 Tb 0.667 0.333 0.453
7 Eu 0.000 0.000 0.000
8 Eu 0.333 0.667 0.667
9 Eu 0.667 0.333 0.333
10 Ir 0.000 0.000 0.500
11 Ir 0.333 0.667 0.167
12 Ir 0.667 0.333 0.833

Below is a relaxed structure of La4TmSe5, with properties calculated at the GGA-PBE level.

The space group is No. 87. As for the raw formation energy: -44.308 kcal/mol of atoms.

Lattice parameters (Å, degrees): 7.368 7.368 7.368 99.66 99.66 131.64
Fractional positions:
1 La 0.095 0.304 0.399
2 La 0.304 0.905 0.209
3 La 0.696 0.095 0.791
4 La 0.905 0.696 0.601
5 Tm 0.500 0.500 0.000
6 Se 0.000 0.000 0.000
7 Se 0.215 0.599 0.814
8 Se 0.401 0.215 0.616
9 Se 0.599 0.785 0.384
10 Se 0.785 0.401 0.186

Listing E for the structures above in their given order: -103.69 -69.00 -56.73 -81.11 -33.05 -49.70 -48.18 -61.18 -26.28 -31.21 -88.43 -60.82 eV per cell.